Record 1
Li2VPbCl6: optimized geometry, GGA-PBE.

Unit cell a=7.1779 b=7.1779 c=7.1779 alpha=54.82 beta=54.82 gamma=54.82
With the nearest neighbours (Å) after each atom.
Atoms (fractional coordinates):
Li 0.0000 0.0000 0.0000  6 Cl 2.49-2.75
Li 0.4852 0.4852 0.4852  3 Cl 2.51
V 0.6838 0.6838 0.6838  6 Cl 2.48-2.52
Pb 0.1960 0.1960 0.1960  6 Cl 2.87-2.96
Cl 0.0813 0.4280 0.7560  2 Li 2.51-2.75, 1 V 2.52
Cl 0.2864 0.8669 0.6434  1 V 2.48, 1 Li 2.49
Cl 0.4280 0.7560 0.0813  2 Li 2.51-2.75, 1 V 2.52
Cl 0.6434 0.2864 0.8669  1 V 2.48, 1 Li 2.49
Cl 0.7560 0.0813 0.4280  2 Li 2.51-2.75, 1 V 2.52
Cl 0.8669 0.6434 0.2864  1 V 2.48, 1 Li 2.49

Output
Formation energy (no corrections), eV/atom: -1.37
Total energy, eV/atom: -4.1469
Calculated volume, Å³ per cell: 230
Total moment, μB per atom: 0.300
Symmetry: No. 146

Record 2
LiZr2PbCl: optimized geometry, GGA-PBE.

Unit cell a=4.7799 b=4.7799 c=5.7159 alpha=90.00 beta=90.00 gamma=90.00
With the nearest neighbours (Å) after each atom.
Atoms (fractional coordinates):
Li 0.0000 0.0000 0.0000  4 Pb 3.38, 8 Zr 3.73
Zr 0.0000 0.5000 0.5000  2 Cl 2.39
Zr 0.5000 0.0000 0.5000  2 Cl 2.39
Pb 0.5000 0.5000 0.0000  2 Cl 2.86
Cl 0.5000 0.5000 0.5000  4 Zr 2.39

Output
Formation energy (no corrections), eV/atom: 0.22
Total energy, eV/atom: -4.6912
Density of states at the Fermi level, states/eV/atom: 0.4450
Calculated volume, Å³ per cell: 131
Total moment, μB per atom: 0.000
Symmetry: No. 123

Record 3
Li2ZrPbCl8: optimized geometry, GGA-PBE.

Unit cell a=6.5576 b=6.9005 c=8.3606 alpha=71.32 beta=89.07 gamma=79.48
With the nearest neighbours (Å) after each atom.
Atoms (fractional coordinates):
Li 0.0343 0.1445 0.3177  4 Cl 2.36-2.52
Li 0.9657 0.8555 0.6823  4 Cl 2.36-2.52
Zr 0.5000 0.5000 0.0000  6 Cl 2.47-2.55
Pb 0.5000 0.5000 0.5000  6 Cl 2.85-3.00
Cl 0.1098 0.7777 0.4448  2 Li 2.36-2.37
Cl 0.1623 0.7410 0.9453  1 Li 2.39, 1 Zr 2.47
Cl 0.3717 0.2773 0.2745  1 Li 2.52, 1 Zr 2.55
Cl 0.3741 0.2927 0.8408  1 Zr 2.49
Cl 0.6259 0.7073 0.1592  1 Zr 2.49
Cl 0.6283 0.7227 0.7255  1 Li 2.52, 1 Zr 2.55
Cl 0.8377 0.2589 0.0547  1 Li 2.39, 1 Zr 2.47
Cl 0.8902 0.2223 0.5552  2 Li 2.36-2.37

Output
Formation energy (no corrections), eV/atom: -1.62
Total energy, eV/atom: -4.1931
Density of states at the Fermi level, states/eV/atom: 0.0000
Calculated volume, Å³ per cell: 352
Total moment, μB per atom: 0.000
Symmetry: No. 2

Record 4
LiPd2Cl: optimized geometry, GGA-PBE.

Unit cell a=10.1265 b=10.1265 c=10.1265 alpha=158.74 beta=158.74 gamma=30.24
With the nearest neighbours (Å) after each atom.
Atoms (fractional coordinates):
Li 0.0000 0.0000 0.0000  4 Cl 2.64, 4 Pd 2.78
Li 0.7500 0.2500 0.5000  4 Cl 2.64, 4 Pd 2.78
Pd 0.1237 0.6250 0.9987  4 Pd 2.63-2.65, 2 Li 2.78, 2 Cl 2.78
Pd 0.3750 0.3737 0.4987  4 Pd 2.63-2.65, 2 Li 2.78, 2 Cl 2.78
Pd 0.6263 0.1250 0.0013  4 Pd 2.63-2.65, 2 Li 2.78, 2 Cl 2.78
Pd 0.8750 0.8763 0.5013  4 Pd 2.63-2.65, 2 Li 2.78, 2 Cl 2.78
Cl 0.2500 0.7500 0.5000  4 Li 2.64, 4 Pd 2.78
Cl 0.5000 0.5000 0.0000  4 Li 2.64, 4 Pd 2.78

Output
Formation energy (no corrections), eV/atom: -0.25
Total energy, eV/atom: -3.7885
Energy above the lowest structure with this stoichiometry, kJ/mol of formula units: 0
Density of states at the Fermi level, states/eV/atom: 0.5983
Calculated volume, Å³ per cell: 136
Total moment, μB per atom: 0.000
Symmetry: No. 122

Record 5
LiPdCl3: optimized geometry, GGA-PBE.

Unit cell a=4.9027 b=4.9027 c=4.9027 alpha=90.00 beta=90.00 gamma=90.00
With the nearest neighbours (Å) after each atom.
Atoms (fractional coordinates):
Li 0.0000 0.0000 0.0000  12 Cl 3.47
Pd 0.5000 0.5000 0.5000  6 Cl 2.45
Cl 0.0000 0.5000 0.5000  2 Pd 2.45
Cl 0.5000 0.0000 0.5000  2 Pd 2.45
Cl 0.5000 0.5000 0.0000  2 Pd 2.45

Output
Formation energy (no corrections), eV/atom: -0.76
Total energy, eV/atom: -3.2879
Energy above the lowest structure with this stoichiometry, kJ/mol of formula units: 86
Density of states at the Fermi level, states/eV/atom: 0.2281
Calculated volume, Å³ per cell: 118
Total moment, μB per atom: 0.000
Symmetry: No. 221

Record 6
LiPdCl: optimized geometry, GGA-PBE.

Unit cell a=5.5419 b=6.9543 c=5.4407 alpha=90.00 beta=90.00 gamma=90.00
With the nearest neighbours (Å) after each atom.
Atoms (fractional coordinates):
Li 0.1927 0.2500 0.1566  4 Cl 2.58-2.77, 3 Pd 2.74-2.87
Li 0.3073 0.7500 0.6566  4 Cl 2.58-2.77, 3 Pd 2.74-2.87
Li 0.6927 0.2500 0.3434  4 Cl 2.58-2.77, 3 Pd 2.74-2.87
Li 0.8073 0.7500 0.8434  4 Cl 2.58-2.77, 3 Pd 2.74-2.87
Pd 0.1856 0.7500 0.1687  4 Cl 2.63-2.71, 3 Li 2.74-2.87, 2 Pd 2.91
Pd 0.3144 0.2500 0.6687  4 Cl 2.63-2.71, 3 Li 2.74-2.87, 2 Pd 2.91
Pd 0.6856 0.7500 0.3313  4 Cl 2.63-2.71, 3 Li 2.74-2.87, 2 Pd 2.91
Pd 0.8144 0.2500 0.8313  4 Cl 2.63-2.71, 3 Li 2.74-2.87, 2 Pd 2.91
Cl 0.0000 0.0000 0.5000  4 Li 2.58-2.77, 4 Pd 2.63-2.71
Cl 0.0000 0.5000 0.5000  4 Li 2.58-2.77, 4 Pd 2.63-2.71
Cl 0.5000 0.0000 0.0000  4 Li 2.58-2.77, 4 Pd 2.63-2.71
Cl 0.5000 0.5000 0.0000  4 Li 2.58-2.77, 4 Pd 2.63-2.71

Output
Formation energy (no corrections), eV/atom: -0.48
Total energy, eV/atom: -3.4623
Energy above the lowest structure with this stoichiometry, kJ/mol of formula units: 104
Density of states at the Fermi level, states/eV/atom: 0.1025
Calculated volume, Å³ per cell: 210
Total moment, μB per atom: 0.000
Symmetry: No. 62